#one
A plane-wave DFT calculation with PBE-GGA was carried out for a geometry-optimized Ti2SF structure.

Space-group type: I-42d

a = 7.5344 Å, b = 7.5344 Å, c = 7.5344 Å
α = 146.92°, β = 146.92°, γ = 47.48°
With the nearest neighbours (Å) after each atom.
Positions (direct):
1 Ti 0.0831 0.6250 0.9581  2 F 2.22, 2 S 2.39
2 Ti 0.3750 0.3331 0.4581  2 F 2.22, 2 S 2.39
3 Ti 0.6669 0.1250 0.0419  2 F 2.22, 2 S 2.39
4 Ti 0.8750 0.9169 0.5419  2 F 2.22, 2 S 2.39
5 S 0.2500 0.7500 0.5000  4 Ti 2.39
6 S 0.5000 0.5000 0.0000  4 Ti 2.39
7 F 0.0000 0.0000 0.0000  4 Ti 2.22
8 F 0.7500 0.2500 0.5000  4 Ti 2.22

#two
A plane-wave DFT calculation with PBE-GGA was carried out for a geometry-optimized Ti2SF structure.

Space-group type: Fm-3m

a = 4.1761 Å, b = 4.1761 Å, c = 4.1761 Å
α = 60.00°, β = 60.00°, γ = 60.00°
With the nearest neighbours (Å) after each atom.
Positions (direct):
1 Ti 0.2500 0.2500 0.2500  4 S 2.56, 4 F 2.56
2 Ti 0.7500 0.7500 0.7500  4 F 2.56, 4 S 2.56
3 S 0.0000 0.0000 0.0000  8 Ti 2.56
4 F 0.5000 0.5000 0.5000  8 Ti 2.56

Question: which arrangement is favored energetically? Ranking from most to least stable: #two, #one.

#one
A plane-wave DFT calculation with PBE-GGA was carried out for a geometry-optimized TiS2F structure.

Space-group type: I-42d

a = 6.6893 Å, b = 6.6893 Å, c = 6.6893 Å
α = 129.88°, β = 129.88°, γ = 73.59°
With the nearest neighbours (Å) after each atom.
Positions (direct):
1 Ti 0.0000 0.0000 0.0000  4 S 2.28
2 Ti 0.7500 0.2500 0.5000  4 S 2.28
3 S 0.0826 0.6250 0.9576  2 Ti 2.28
4 S 0.3750 0.3326 0.4576  2 Ti 2.28
5 S 0.6674 0.1250 0.0424  2 Ti 2.28
6 S 0.8750 0.9174 0.5424  2 Ti 2.28
7 F 0.2500 0.7500 0.5000  4 S 2.56
8 F 0.5000 0.5000 0.0000  4 S 2.56

#two
A plane-wave DFT calculation with PBE-GGA was carried out for a geometry-optimized TiS2F structure.

Space-group type: Fm-3m

a = 4.2683 Å, b = 4.2683 Å, c = 4.2683 Å
α = 60.00°, β = 60.00°, γ = 60.00°
With the nearest neighbours (Å) after each atom.
Positions (direct):
1 Ti 0.0000 0.0000 0.0000  8 S 2.61
2 S 0.2500 0.2500 0.2500  4 F 2.61, 4 Ti 2.61
3 S 0.7500 0.7500 0.7500  4 F 2.61, 4 Ti 2.61
4 F 0.5000 0.5000 0.5000  8 S 2.61

Question: which arrangement is favored energetically? Ranking from most to least stable: #two, #one.

#one
A plane-wave DFT calculation with PBE-GGA was carried out for a geometry-optimized Tl2SF structure.

Space-group type: Pm

a = 6.2223 Å, b = 4.0731 Å, c = 9.1712 Å
α = 90.00°, β = 93.82°, γ = 90.00°
With the nearest neighbours (Å) after each atom.
Positions (direct):
1 Tl 0.0000 0.0000 0.0000  1 F 2.55
2 Tl 0.0965 0.0000 0.4782  2 F 2.59
3 Tl 0.4848 0.5000 0.2025  1 F 2.37, 3 S 2.45-2.55
4 Tl 0.5943 0.5000 0.6811  2 F 2.57
5 S 0.3401 0.5000 0.9472  1 Tl 2.45
6 S 0.6188 0.0000 0.3499  2 Tl 2.55
7 F 0.1486 0.5000 0.3099  3 Tl 2.37-2.59
8 F 0.8384 0.0000 0.7372  3 Tl 2.55-2.57

#two
A plane-wave DFT calculation with PBE-GGA was carried out for a geometry-optimized Tl2SF structure.

Space-group type: R-3m

a = 6.8022 Å, b = 6.8022 Å, c = 6.8022 Å
α = 35.65°, β = 35.65°, γ = 35.65°
With the nearest neighbours (Å) after each atom.
Positions (direct):
1 Tl 0.2445 0.2445 0.2445  3 F 2.83, 3 S 2.94
2 Tl 0.7555 0.7555 0.7555  3 F 2.83, 3 S 2.94
3 S 0.0000 0.0000 0.0000  6 Tl 2.94
4 F 0.5000 0.5000 0.5000  6 Tl 2.83

Question: which arrangement is favored energetically? Ranking from most to least stable: #one, #two.

#one
A plane-wave DFT calculation with PBE-GGA was carried out for a geometry-optimized TlS3F structure.

Space-group type: Pm-3m

a = 4.5633 Å, b = 4.5633 Å, c = 4.5633 Å
α = 90.00°, β = 90.00°, γ = 90.00°
With the nearest neighbours (Å) after each atom.
Positions (direct):
1 Tl 0.0000 0.0000 0.0000  12 S 3.23
2 S 0.0000 0.5000 0.5000  2 F 2.28
3 S 0.5000 0.0000 0.5000  2 F 2.28
4 S 0.5000 0.5000 0.0000  2 F 2.28
5 F 0.5000 0.5000 0.5000  6 S 2.28

#two
A plane-wave DFT calculation with PBE-GGA was carried out for a geometry-optimized TlS3F structure.

Space-group type: P-1

a = 4.5921 Å, b = 8.2087 Å, c = 8.2387 Å
α = 79.99°, β = 83.88°, γ = 86.58°
With the nearest neighbours (Å) after each atom.
Positions (direct):
1 Tl 0.2199 0.1968 0.0095  3 F 2.46-2.60
2 Tl 0.7801 0.8032 0.9905  3 F 2.46-2.60
3 S 0.1923 0.7569 0.5300  2 S 2.04-2.05
4 S 0.4297 0.9488 0.3998  2 S 2.05-2.15
5 S 0.4662 0.5599 0.6071  2 S 2.04-2.15
6 S 0.5338 0.4401 0.3929  2 S 2.04-2.15
7 S 0.5703 0.0512 0.6002  2 S 2.05-2.15
8 S 0.8077 0.2431 0.4700  2 S 2.04-2.05
9 F 0.2450 0.8937 0.0853  3 Tl 2.46-2.60
10 F 0.7550 0.1063 0.9147  3 Tl 2.46-2.60

Question: which arrangement is favored energetically? Ranking from most to least stable: #two, #one.

#one
A plane-wave DFT calculation with PBE-GGA was carried out for a geometry-optimized Tl4SF2 structure.

Space-group type: Cmcm

a = 6.9510 Å, b = 6.9510 Å, c = 13.5653 Å
α = 90.00°, β = 90.00°, γ = 145.51°
With the nearest neighbours (Å) after each atom.
Positions (direct):
1 Tl 0.0000 0.0000 0.0000  4 F 2.77
2 Tl 0.0000 0.0000 0.5000  4 F 2.77
3 Tl 0.2756 0.7244 0.6248  1 F 2.51
4 Tl 0.2756 0.7244 0.8752  1 F 2.51
5 Tl 0.4363 0.5637 0.2500  2 S 2.90, 2 F 3.03
6 Tl 0.5637 0.4363 0.7500  2 S 2.90, 2 F 3.03
7 Tl 0.7244 0.2756 0.1248  1 F 2.51
8 Tl 0.7244 0.2756 0.3752  1 F 2.51
9 S 0.0898 0.9102 0.2500  6 Tl 2.90-3.21
10 S 0.9102 0.0898 0.7500  6 Tl 2.90-3.21
11 F 0.3664 0.6336 0.0376  3 Tl 2.51-2.77
12 F 0.3664 0.6336 0.4624  3 Tl 2.51-2.77
13 F 0.6336 0.3664 0.5376  3 Tl 2.51-2.77
14 F 0.6336 0.3664 0.9624  3 Tl 2.51-2.77

#two
A plane-wave DFT calculation with PBE-GGA was carried out for a geometry-optimized Tl4SF2 structure.

Space-group type: I-42m

a = 6.8127 Å, b = 6.8127 Å, c = 6.8127 Å
α = 124.16°, β = 124.16°, γ = 82.94°
With the nearest neighbours (Å) after each atom.
Positions (direct):
1 Tl 0.0947 0.6598 0.0000  2 F 2.62, 1 S 2.84
2 Tl 0.3402 0.3402 0.4349  2 F 2.62, 1 S 2.84
3 Tl 0.6598 0.0947 0.0000  2 F 2.62, 1 S 2.84
4 Tl 0.9053 0.9053 0.5651  2 F 2.62, 1 S 2.84
5 S 0.5000 0.5000 0.0000  4 Tl 2.84
6 F 0.2500 0.7500 0.5000  4 Tl 2.62
7 F 0.7500 0.2500 0.5000  4 Tl 2.62

Question: which arrangement is favored energetically? Ranking from most to least stable: #one, #two.

#one
A plane-wave DFT calculation with PBE-GGA was carried out for a geometry-optimized Tl3SF structure.

Space-group type: P2_1/m

a = 6.8398 Å, b = 4.2481 Å, c = 10.1591 Å
α = 90.00°, β = 101.20°, γ = 90.00°
With the nearest neighbours (Å) after each atom.
Positions (direct):
1 Tl 0.0162 0.2500 0.3448  1 F 2.59
2 Tl 0.2733 0.2500 0.0039  3 S 3.02-3.11, 3 F 3.10-3.38
3 Tl 0.4681 0.2500 0.6517  2 F 2.58, 1 S 2.84
4 Tl 0.5319 0.7500 0.3483  2 F 2.58, 1 S 2.84
5 Tl 0.7267 0.7500 0.9961  3 S 3.02-3.11, 3 F 3.10-3.38
6 Tl 0.9838 0.7500 0.6552  1 F 2.59
7 S 0.1463 0.7500 0.1816  6 Tl 2.84-3.11
8 S 0.8537 0.2500 0.8184  6 Tl 2.84-3.11
9 F 0.3594 0.7500 0.7627  3 Tl 2.58-2.59
10 F 0.6406 0.2500 0.2373  3 Tl 2.58-2.59

#two
A plane-wave DFT calculation with PBE-GGA was carried out for a geometry-optimized Tl3SF structure.

Space-group type: P2_1/m

a = 7.0086 Å, b = 4.1095 Å, c = 11.2426 Å
α = 90.00°, β = 106.26°, γ = 90.00°
With the nearest neighbours (Å) after each atom.
Positions (direct):
1 Tl 0.0285 0.2500 0.1516  1 F 2.52
2 Tl 0.2426 0.2500 0.4896  3 S 2.96-2.98
3 Tl 0.4710 0.2500 0.8333  3 F 2.57-2.65
4 Tl 0.5290 0.7500 0.1667  3 F 2.57-2.65
5 Tl 0.7574 0.7500 0.5104  3 S 2.96-2.98
6 Tl 0.9715 0.7500 0.8484  1 F 2.52
7 S 0.0100 0.2500 0.6727  6 Tl 2.91-3.23
8 S 0.9900 0.7500 0.3273  6 Tl 2.91-3.23
9 F 0.3456 0.7500 0.9263  4 Tl 2.52-2.65
10 F 0.6544 0.2500 0.0737  4 Tl 2.52-2.65

#three
A plane-wave DFT calculation with PBE-GGA was carried out for a geometry-optimized Tl3SF structure.

Space-group type: Pm-3m

a = 5.2287 Å, b = 5.2287 Å, c = 5.2287 Å
α = 90.00°, β = 90.00°, γ = 90.00°
With the nearest neighbours (Å) after each atom.
Positions (direct):
1 Tl 0.0000 0.0000 0.5000  2 F 2.61
2 Tl 0.0000 0.5000 0.0000  2 F 2.61
3 Tl 0.5000 0.0000 0.0000  2 F 2.61
4 S 0.5000 0.5000 0.5000  12 Tl 3.70
5 F 0.0000 0.0000 0.0000  6 Tl 2.61

Question: which arrangement is favored energetically? Ranking from most to least stable: #two, #one, #three.

#one
A plane-wave DFT calculation with PBE-GGA was carried out for a geometry-optimized TlSF3 structure.

Space-group type: Pm-3m

a = 4.4957 Å, b = 4.4957 Å, c = 4.4957 Å
α = 90.00°, β = 90.00°, γ = 90.00°
With the nearest neighbours (Å) after each atom.
Positions (direct):
1 Tl 0.0000 0.0000 0.0000  6 F 2.25
2 S 0.5000 0.5000 0.5000  12 F 3.18
3 F 0.0000 0.0000 0.5000  2 Tl 2.25
4 F 0.0000 0.5000 0.0000  2 Tl 2.25
5 F 0.5000 0.0000 0.0000  2 Tl 2.25

#two
A plane-wave DFT calculation with PBE-GGA was carried out for a geometry-optimized TlSF3 structure.

Space-group type: Pm-3m

a = 4.3761 Å, b = 4.3761 Å, c = 4.3761 Å
α = 90.00°, β = 90.00°, γ = 90.00°
With the nearest neighbours (Å) after each atom.
Positions (direct):
1 Tl 0.0000 0.0000 0.0000  12 F 3.09
2 S 0.5000 0.5000 0.5000  6 F 2.19
3 F 0.0000 0.5000 0.5000  2 S 2.19
4 F 0.5000 0.0000 0.5000  2 S 2.19
5 F 0.5000 0.5000 0.0000  2 S 2.19

Question: which arrangement is favored energetically? Ranking from most to least stable: #two, #one.